Na3Sm2CoO6 | PBE+U | relaxed

Lattice parameters (Å, degrees): 5.8332 5.8332 5.9018 99.12 99.12 119.91
Last column: nearest neighbours and their distance in Å.
Fractional positions:
O (0.0678, 0.3660, 0.2080)  1 Co 2.10
O (0.9322, 0.6340, 0.7920)  1 Co 2.10
O (0.3660, 0.0678, 0.2080)  1 Co 2.10
O (0.6340, 0.9322, 0.7920)  1 Co 2.10
O (0.2486, 0.2486, 0.7863)  1 Co 2.20, 2 Sm 2.33, 2 Na 2.37
O (0.7514, 0.7514, 0.2137)  1 Co 2.20, 2 Sm 2.33, 2 Na 2.37
Na (0.8523, 0.1477, 0.5000)  4 O 2.37-2.44
Na (0.5000, 0.5000, 0.5000)  6 O 2.48-2.57
Na (0.1477, 0.8523, 0.5000)  4 O 2.37-2.44
Sm (0.6666, 0.3334, 0.0000)  6 O 2.33-2.36
Sm (0.3334, 0.6666, 0.0000)  6 O 2.33-2.36
Co (0.0000, 0.0000, 0.0000)  6 O 2.10-2.20

Properties
space group: C2/m, No. 12
total energy: -0.226 Ha/atom